The following is a DFT calculation (GGA-PBE) of a geometry-optimized ScFe2PdS structure.

Symmetry ... P4/mmm, No. 123
E_tot ... -29.5 eV per cell
DOS(E_F) ... 1.122 states/eV per atom
Magnetization ... 1.315 μB per atom
Formation energy (no corrections) ... 0.623 eV per atom

POSCAR file:
```
ScFe2PdS
1.0
-2.306 -3.176 2.456
4.364 -2.147 1.321
0.214 2.732 3.732
Sc S Fe Pd
1 1 2 1
Direct
0.000 0.500 0.000
0.500 0.500 0.500
0.000 0.000 0.500
0.500 0.000 0.000
0.000 0.000 0.000
```

The following is a DFT calculation (GGA-PBE) of a geometry-optimized Hf2PaIn structure.

Symmetry ... R-3m, No. 166
E_tot ... -31.2 eV per cell
DOS(E_F) ... 1.204 states/eV per atom
DFT formation energy ... 0.244 eV/atom
Offset from the most stable computed form ... 0.278 eV per atom
Magnetization ... 0.000 μB per atom

POSCAR file:
```
Hf2PaIn
1.0
-2.335 1.544 1.370
-2.835 -1.286 0.162
0.947 -4.569 10.306
Pa Hf In
1 2 1
Direct
0.000 0.000 0.000
0.090 0.090 0.730
0.910 0.910 0.270
0.500 0.500 0.500
```

The following is a DFT calculation (GGA-PBE) of a geometry-optimized CoNi3Ru structure.

Symmetry ... Pm-3m, No. 221
E_tot ... -27.6 eV per cell
DOS(E_F) ... 1.557 states/eV per atom
DFT formation energy ... 1.234 eV/atom
Offset from the most stable computed form ... 0.000 eV per atom
Magnetization ... 1.290 μB per atom

POSCAR file:
```
CoNi3Ru
1.0
4.195 0.000 0.000
0.000 4.195 0.000
0.000 0.000 4.195
Ru Co Ni
1 1 3
Direct
0.500 0.500 0.500
0.000 0.000 0.000
0.000 0.500 0.000
0.000 0.000 0.500
0.500 0.000 0.000
```

The following is a DFT calculation (GGA-PBE) of a geometry-optimized ErAgHgPd structure.

Symmetry ... F-43m, No. 216
E_tot ... -14.7 eV per cell
DOS(E_F) ... 0.530 states/eV per atom
DFT formation energy ... -0.457 eV/atom
Magnetization ... 0.000 μB per atom

POSCAR file:
```
ErAgHgPd
1.0
4.847 0.000 0.000
2.424 4.198 0.000
2.424 1.399 3.958
Pd Hg Ag Er
1 1 1 1
Direct
0.750 0.750 0.750
0.500 0.500 0.500
0.250 0.250 0.250
0.000 0.000 0.000
```

The following is a DFT calculation (GGA-PBE) of a geometry-optimized InSi2IrOs structure.

Symmetry ... P4/mmm, No. 123
E_tot ... -29.3 eV per cell
DOS(E_F) ... 0.838 states/eV per atom
Offset from the most stable computed form ... 0.000 eV per atom
Magnetization ... 0.000 μB per atom
Formation energy (no corrections) ... 0.868 eV per atom

POSCAR file:
```
InSi2IrOs
1.0
4.493 0.000 0.000
0.000 5.183 0.000
0.000 0.000 4.493
Si Ir Os In
2 1 1 1
Direct
0.000 0.000 0.500
0.500 0.000 0.000
0.500 0.500 0.500
0.000 0.000 0.000
0.000 0.500 0.000
```

The following is a DFT calculation (GGA-PBE) of a geometry-optimized ZrZn structure.

Symmetry ... I-43m, No. 217
E_tot ... -62.1 eV per cell
DOS(E_F) ... 0.841 states/eV per atom
DFT formation energy ... 1.031 eV/atom
Magnetization ... 0.315 μB per atom

POSCAR file:
```
ZrZn
1.0
-5.357 -5.451 4.042
6.754 -4.785 2.498
0.662 4.706 7.223
Zr Zn
8 8
Direct
0.379 0.379 0.379
0.379 0.621 0.621
0.621 0.379 0.621
0.621 0.621 0.379
0.879 0.879 0.879
0.879 0.121 0.121
0.121 0.879 0.121
0.121 0.121 0.879
0.189 0.189 0.189
0.189 0.811 0.811
0.811 0.189 0.811
0.811 0.811 0.189
0.689 0.689 0.689
0.689 0.311 0.311
0.311 0.689 0.311
0.311 0.311 0.689
```

The following is a DFT calculation (GGA-PBE) of a geometry-optimized ZnAgIr2 structure.

Symmetry ... Cmmm, No. 65
E_tot ... -20.7 eV per cell
DOS(E_F) ... 1.073 states/eV per atom
DFT formation energy ... 0.299 eV/atom
Magnetization ... 0.000 μB per atom

POSCAR file:
```
ZnAgIr2
1.0
4.822 -0.021 0.000
-1.656 4.529 0.000
0.000 0.000 2.782
Ag Ir Zn
1 2 1
Direct
0.000 0.500 0.500
0.000 0.000 0.000
0.500 0.500 0.000
0.500 0.000 0.500
```

The following is a DFT calculation (GGA-PBE) of a geometry-optimized NaLa5S6 structure.

Symmetry ... C2/m, No. 12
E_tot ... -75.4 eV per cell
DOS(E_F) ... 0.487 states/eV per atom
Magnetization ... 0.000 μB per atom
Formation energy (no corrections) ... -2.055 eV per atom

POSCAR file:
```
NaLa5S6
1.0
7.105 0.173 1.079
1.746 6.024 3.512
0.120 0.064 7.187
Na S La
1 6 5
Direct
0.000 0.000 0.000
0.750 0.083 0.332
0.250 0.585 0.332
0.246 0.248 0.000
0.754 0.752 0.000
0.750 0.415 0.668
0.250 0.917 0.668
0.500 0.165 0.670
0.000 0.334 0.332
0.500 0.500 0.000
0.000 0.666 0.668
0.500 0.835 0.330
```

The following is a DFT calculation (GGA-PBE) of a geometry-optimized CsCeCuSe4 structure.

Symmetry ... P2_1/m, No. 11
E_tot ... -64.2 eV per cell
DOS(E_F) ... 0.798 states/eV per atom
Magnetization ... 0.000 μB per atom
Formation energy (no corrections) ... -1.043 eV per atom

POSCAR file:
```
CsCeCuSe4
1.0
7.347 0.000 0.117
0.000 5.704 0.000
-2.731 0.000 9.824
Cs Ce Cu Se
2 2 2 8
Direct
0.765 0.750 0.959
0.235 0.250 0.041
0.730 0.750 0.448
0.270 0.250 0.552
0.267 0.750 0.333
0.733 0.250 0.667
0.001 0.515 0.690
0.999 0.015 0.310
0.999 0.485 0.310
0.001 0.985 0.690
0.475 0.750 0.192
0.525 0.250 0.808
0.409 0.750 0.573
0.591 0.250 0.427
```

The following is a DFT calculation (GGA-PBE) of a geometry-optimized CsSnAs2Pt4 structure.

Symmetry ... P4/mmm, No. 123
E_tot ... -42.0 eV per cell
DOS(E_F) ... 0.270 states/eV per atom
DFT formation energy ... -0.462 eV/atom
Magnetization ... 0.000 μB per atom

POSCAR file:
```
CsSnAs2Pt4
1.0
-3.015 0.830 -2.597
2.592 -0.330 -3.114
-2.356 -11.032 -0.791
Cs Sn As Pt
1 1 2 4
Direct
0.000 0.000 0.500
0.000 0.000 0.000
0.500 0.500 0.295
0.500 0.500 0.705
0.000 0.500 0.169
0.500 0.000 0.831
0.500 0.000 0.169
0.000 0.500 0.831
```

The following is a DFT calculation (GGA-PBE) of a geometry-optimized ThPa3Al8 structure.

Symmetry ... P3m1, No. 156
E_tot ... -69.7 eV per cell
DOS(E_F) ... 1.259 states/eV per atom
DFT formation energy ... -0.321 eV/atom
Magnetization ... 0.044 μB per atom

POSCAR file:
```
ThPa3Al8
1.0
-2.959 4.095 -2.367
2.937 -3.518 -3.182
-7.112 -5.450 -0.540
Th Pa Al
1 3 8
Direct
0.000 0.000 0.572
0.667 0.333 0.408
0.667 0.333 0.086
0.000 0.000 0.933
0.333 0.667 0.498
0.333 0.667 0.001
0.505 0.010 0.754
0.505 0.495 0.754
0.990 0.495 0.754
0.162 0.324 0.247
0.162 0.838 0.247
0.676 0.838 0.247
```

The following is a DFT calculation (GGA-PBE) of a geometry-optimized TaMo6 structure.

Symmetry ... Fmmm, No. 69
E_tot ... -77.2 eV per cell
DOS(E_F) ... 0.603 states/eV per atom
DFT formation energy ... -0.052 eV/atom
Offset from the most stable computed form ... 0.044 eV per atom
Magnetization ... 0.000 μB per atom

POSCAR file:
```
TaMo6
1.0
2.763 0.000 0.000
-0.937 2.599 0.000
-0.913 -1.300 15.713
Mo Ta
6 1
Direct
0.573 0.573 0.147
0.144 0.144 0.288
0.715 0.715 0.429
0.285 0.285 0.571
0.856 0.856 0.712
0.427 0.427 0.853
0.000 0.000 0.000
```

The following is a DFT calculation (GGA-PBE) of a geometry-optimized HoMgPaTc structure.

Symmetry ... F-43m, No. 216
E_tot ... -25.7 eV per cell
DOS(E_F) ... 1.305 states/eV per atom
DFT formation energy ... 0.096 eV/atom
Magnetization ... 0.000 μB per atom

POSCAR file:
```
HoMgPaTc
1.0
5.012 0.000 0.000
2.506 4.340 0.000
2.506 1.447 4.092
Mg Pa Ho Tc
1 1 1 1
Direct
0.500 0.500 0.500
0.250 0.250 0.250
0.750 0.750 0.750
0.000 0.000 0.000
```

The following is a DFT calculation (GGA-PBE) of a geometry-optimized Ba2Zn4Ag5 structure.

Symmetry ... C2/m, No. 12
E_tot ... -24.8 eV per cell
DOS(E_F) ... 0.521 states/eV per atom
DFT formation energy ... -0.145 eV/atom
Magnetization ... 0.000 μB per atom

POSCAR file:
```
Ba2Zn4Ag5
1.0
5.926 0.000 0.000
2.963 6.844 -0.214
2.963 1.508 6.531
Ba Zn Ag
2 4 5
Direct
0.282 0.780 0.657
0.718 0.220 0.343
0.383 0.065 0.170
0.617 0.935 0.830
0.773 0.565 0.890
0.227 0.435 0.110
0.202 0.254 0.834
0.798 0.746 0.166
0.000 0.500 0.500
0.711 0.254 0.834
0.289 0.746 0.166
```

The following is a DFT calculation (GGA-PBE) of a geometry-optimized Tl3H structure.

Symmetry ... P6_3/mmc, No. 194
E_tot ... -18.5 eV per cell
DOS(E_F) ... 0.470 states/eV per atom
Offset from the most stable computed form ... 0.042 eV per atom
Magnetization ... 0.000 μB per atom

POSCAR file:
```
Tl3H
1.0
-0.243 5.916 6.140
-2.836 1.858 -7.827
-3.114 -1.042 0.881
Tl H
6 2
Direct
0.199 0.398 0.250
0.602 0.801 0.250
0.199 0.801 0.250
0.801 0.602 0.750
0.398 0.199 0.750
0.801 0.199 0.750
0.333 0.667 0.750
0.667 0.333 0.250
```

The following is a DFT calculation (GGA-PBE) of a geometry-optimized PmEuGeAs structure.

Symmetry ... F-43m, No. 216
E_tot ... -27.2 eV per cell
DOS(E_F) ... 1.022 states/eV per atom
DFT formation energy ... -0.724 eV/atom
Magnetization ... 1.641 μB per atom

POSCAR file:
```
PmEuGeAs
1.0
-0.391 -1.260 5.048
4.178 -1.766 2.579
2.286 2.984 3.619
Eu As Ge Pm
1 1 1 1
Direct
0.000 0.000 0.000
0.750 0.750 0.750
0.250 0.250 0.250
0.500 0.500 0.500
```

The following is a DFT calculation (GGA-PBE) of a geometry-optimized KLaTa2 structure.

Symmetry ... P4/mmm, No. 123
E_tot ... -24.9 eV per cell
DOS(E_F) ... 1.235 states/eV per atom
DFT formation energy ... 1.211 eV/atom
Offset from the most stable computed form ... 0.656 eV per atom
Magnetization ... 0.000 μB per atom

POSCAR file:
```
KLaTa2
1.0
3.939 0.000 0.000
0.000 3.939 0.000
0.000 0.000 7.919
K La Ta
1 1 2
Direct
0.500 0.500 0.250
0.500 0.500 0.750
0.000 0.000 0.912
0.000 0.000 0.588
```

The following is a DFT calculation (GGA-PBE) of a geometry-optimized TePdRhI2 structure.

Symmetry ... P4/mmm, No. 123
E_tot ... -16.1 eV per cell
DOS(E_F) ... 1.874 states/eV per atom
Offset from the most stable computed form ... 0.000 eV per atom
Magnetization ... 0.000 μB per atom
Formation energy (no corrections) ... 0.543 eV per atom

POSCAR file:
```
TePdRhI2
1.0
5.526 0.000 0.000
0.000 5.526 0.000
0.000 0.000 5.008
I Te Rh Pd
2 1 1 1
Direct
0.000 0.500 0.000
0.500 0.000 0.000
0.000 0.000 0.500
0.000 0.000 0.000
0.500 0.500 0.500
```

The following is a DFT calculation (GGA-PBE) of a geometry-optimized MgCd4Hg structure.

Symmetry ... C2/m, No. 12
E_tot ... -5.8 eV per cell
DOS(E_F) ... 0.352 states/eV per atom
DFT formation energy ... -0.037 eV/atom
Offset from the most stable computed form ... 0.000 eV per atom
Magnetization ... 0.000 μB per atom

POSCAR file:
```
MgCd4Hg
1.0
-1.854 -1.533 3.672
3.820 -3.657 -2.222
3.175 4.043 3.291
Mg Cd Hg
1 4 1
Direct
0.000 0.000 0.500
0.335 0.670 0.169
0.665 0.330 0.831
0.332 0.664 0.664
0.668 0.336 0.336
0.000 0.000 0.000
```

The following is a DFT calculation (GGA-PBE) of a geometry-optimized Tc2Ge2Se structure.

Symmetry ... P4/mbm, No. 127
E_tot ... -66.2 eV per cell
DOS(E_F) ... 1.063 states/eV per atom
Magnetization ... 0.000 μB per atom
Formation energy (no corrections) ... 0.070 eV per atom

POSCAR file:
```
Tc2Ge2Se
1.0
7.173 0.000 0.000
0.000 7.173 0.000
0.000 0.000 3.117
Ge Tc Se
4 4 2
Direct
0.139 0.639 0.500
0.639 0.861 0.500
0.861 0.361 0.500
0.361 0.139 0.500
0.345 0.845 0.000
0.845 0.655 0.000
0.655 0.155 0.000
0.155 0.345 0.000
0.000 0.000 0.000
0.500 0.500 0.000
```

The following is a DFT calculation (GGA-PBE) of a geometry-optimized BaMgCd2H8 structure.

Symmetry ... P-3, No. 147
E_tot ... -33.4 eV per cell
DOS(E_F) ... 0.000 states/eV per atom
Magnetization ... 0.000 μB per atom

POSCAR file:
```
BaMgCd2H8
1.0
-0.873 1.498 -4.866
-1.412 -4.724 1.541
-6.661 2.646 2.010
Ba Mg Cd H
1 1 2 8
Direct
0.000 0.000 0.000
0.000 0.000 0.500
0.667 0.333 0.273
0.333 0.667 0.727
0.333 0.667 0.978
0.296 0.273 0.328
0.727 0.023 0.328
0.667 0.333 0.022
0.273 0.977 0.672
0.704 0.727 0.672
0.023 0.296 0.672
0.977 0.704 0.328
```

The following is a DFT calculation (GGA-PBE) of a geometry-optimized Co3BiC structure.

Symmetry ... Pm-3m, No. 221
E_tot ... -32.9 eV per cell
DOS(E_F) ... 1.357 states/eV per atom
DFT formation energy ... 0.309 eV/atom
Offset from the most stable computed form ... 0.000 eV per atom
Magnetization ... 0.589 μB per atom

POSCAR file:
```
Co3BiC
1.0
-3.831 0.611 0.764
0.136 -2.723 2.863
0.969 2.800 2.618
C Co Bi
1 3 1
Direct
0.000 0.000 0.000
0.000 0.500 0.000
0.000 0.000 0.500
0.500 0.000 0.000
0.500 0.500 0.500
```

The following is a DFT calculation (GGA-PBE) of a geometry-optimized Ti4AgAu structure.

Symmetry ... P4/mmm, No. 123
E_tot ... -38.9 eV per cell
DOS(E_F) ... 0.513 states/eV per atom
DFT formation energy ... -0.191 eV/atom
Magnetization ... 0.000 μB per atom

POSCAR file:
```
Ti4AgAu
1.0
3.000 0.000 0.000
0.000 3.000 0.000
0.000 0.000 11.523
Ti Ag Au
4 1 1
Direct
0.500 0.500 0.173
0.000 0.000 0.667
0.000 0.000 0.333
0.500 0.500 0.827
0.000 0.000 0.000
0.500 0.500 0.500
```

The following is a DFT calculation (GGA-PBE) of a geometry-optimized Er2CuSi structure.

Symmetry ... R-3m, No. 166
E_tot ... -17.6 eV per cell
DOS(E_F) ... 0.694 states/eV per atom
Magnetization ... 0.000 μB per atom
Formation energy (no corrections) ... 0.257 eV per atom

POSCAR file:
```
Er2CuSi
1.0
3.480 0.000 0.000
1.740 3.013 0.000
1.740 1.004 9.550
Si Cu Er
1 1 2
Direct
0.500 0.500 0.500
0.000 0.000 0.000
0.098 0.098 0.706
0.902 0.902 0.294
```

The following is a DFT calculation (GGA-PBE) of a geometry-optimized Al2ReNiC structure.

Symmetry ... P4/mmm, No. 123
E_tot ... -33.9 eV per cell
DOS(E_F) ... 0.658 states/eV per atom
DFT formation energy ... 0.206 eV/atom
Magnetization ... 0.000 μB per atom

POSCAR file:
```
Al2ReNiC
1.0
-0.639 -3.693 -1.380
3.893 -0.707 0.089
-0.330 -1.343 3.747
Re C Al Ni
1 1 2 1
Direct
0.000 0.500 0.000
0.000 0.000 0.000
0.000 0.000 0.500
0.500 0.000 0.000
0.500 0.500 0.500
```